# RbBH2

A relaxed structure of RbBH2 (PBE, Alexandria).

Summary:
Energy above the lowest structure with this stoichiometry (eV/atom): 0.6710
SG: I4_1/amd (141)
M_tot (μB per formula unit): 0.00
Electronic total energy (eV for the cell shown): -23.8

Cell: 4.8695 4.8695 5.4917 Å, 63.68 63.68 90.00°
Element x y z (fractional)
H: 0.3747 0.1250 0.2500
H: 0.3753 0.6250 0.2500
H: 0.3750 0.6253 0.7500
H: 0.8750 0.6247 0.7500
B: 0.5000 0.5000 0.0000
B: 0.2500 0.7500 0.5000
Rb: 0.0000 0.0000 0.0000
Rb: 0.7500 0.2500 0.5000

***

# La6AgTe8

A relaxed structure of La6AgTe8 (PBE, Alexandria).

Summary:
SG: R-3 (148)
M_tot (μB per formula unit): 0.01
Raw formation energy (kJ/mol of formula units): -2037
Electronic total energy (eV for the cell shown): -78.7

Cell: 8.4829 8.4829 8.4829 Å, 68.38 68.38 68.38°
Element x y z (fractional)
La: 0.0725 0.4567 0.7013
La: 0.2987 0.9275 0.5433
La: 0.5433 0.2987 0.9275
La: 0.4567 0.7013 0.0725
La: 0.7013 0.0725 0.4567
La: 0.9275 0.5433 0.2987
Ag: 0.0000 0.0000 0.0000
Te: 0.1853 0.6397 0.9032
Te: 0.0968 0.8147 0.3603
Te: 0.3603 0.0968 0.8147
Te: 0.6667 0.6667 0.6667
Te: 0.3333 0.3333 0.3333
Te: 0.6397 0.9032 0.1853
Te: 0.9032 0.1853 0.6397
Te: 0.8147 0.3603 0.0968

***

# CuPt

A relaxed structure of CuPt (PBE, Alexandria).

Summary:
SG: I4/mmm (139)
M_tot (μB per formula unit): 0.00
Energy relative to the elements (eV per formula unit): 0.12
Electronic total energy (eV for the cell shown): -80.1

Cell: 7.9916 7.9916 3.7827 Å, 90.00 90.00 90.00°
Element x y z (fractional)
Cu: 0.1646 0.5000 0.0000
Cu: 0.8354 0.5000 0.0000
Cu: 0.5000 0.8354 0.0000
Cu: 0.5000 0.1646 0.0000
Cu: 0.6646 0.0000 0.5000
Cu: 0.3354 0.0000 0.5000
Cu: 0.0000 0.3354 0.5000
Cu: 0.0000 0.6646 0.5000
Pt: 0.8348 0.8348 0.0000
Pt: 0.8348 0.1652 0.0000
Pt: 0.1652 0.8348 0.0000
Pt: 0.1652 0.1652 0.0000
Pt: 0.3348 0.3348 0.5000
Pt: 0.3348 0.6652 0.5000
Pt: 0.6652 0.3348 0.5000
Pt: 0.6652 0.6652 0.5000